Entry 1:
## TbB2Ru (PBE)

Data for crystalline TbB2Ru at its relaxed geometry.

Properties
**Energy of formation from the pure elements**: -0.272 eV/atom
**ΔE to the lowest computed polymorph**: 317.2 meV/atom
**N(E_F)**: 6.54 states/eV per cell

a = 3.6495 Å, b = 3.6495 Å, c = 14.1800 Å
α = 90.00°, β = 90.00°, γ = 120.00°
Space group R-3m (No. 166, hexagonal axes)
Unique sites:
Tb 0.0000 0.0000 0.0000 (multiplicity 3)
B 0.0000 0.0000 0.2060 (multiplicity 6)
Ru 0.0000 0.0000 0.5000 (multiplicity 3)



Entry 2:
## Ca2TaBiOs (PBE)

Data for crystalline Ca2TaBiOs at its relaxed geometry.

Properties
**Energy of formation from the pure elements**: 1.747 eV/atom
**N(E_F)**: 7.55 states/eV per cell

a = 5.643 Å, b = 5.643 Å, c = 5.306 Å
α = 90.00°, β = 90.00°, γ = 90.00°
Space group P4/mmm (No. 123)
Unique sites:
Ca 0.000 0.500 0.000 (multiplicity 2)
Ta 0.000 0.000 0.000 (multiplicity 1)
Bi 0.000 0.000 0.500 (multiplicity 1)
Os 0.500 0.500 0.500 (multiplicity 1)



Entry 3:
## Ba2TmCdO5 (PBE)

Data for crystalline Ba2TmCdO5 at its relaxed geometry.

Properties
**VASP energy**: -6.06 eV per atom
**N(E_F)**: 25.65 states/eV per cell

a = 3.600 Å, b = 15.184 Å, c = 11.282 Å
α = 90.00°, β = 90.00°, γ = 90.00°
Space group Cmc2_1 (No. 36)
Unique sites:
Ba 0.000 0.116 0.000 (multiplicity 4)
Ba 0.000 0.130 0.589 (multiplicity 4)
Tm 0.000 0.218 0.302 (multiplicity 4)
Cd 0.000 0.484 0.777 (multiplicity 4)
O 0.000 0.074 0.351 (multiplicity 4)
O 0.000 0.281 0.933 (multiplicity 4)
O 0.000 0.297 0.677 (multiplicity 4)
O 0.000 0.364 0.304 (multiplicity 4)
O 0.000 0.500 0.082 (multiplicity 4)



Entry 4:
## VGaTcPd (PBE)

Data for crystalline VGaTcPd at its relaxed geometry.

Properties
**Energy of formation from the pure elements**: -0.272 eV/atom
**N(E_F)**: 13.89 states/eV per cell

a = 6.120 Å, b = 6.120 Å, c = 6.120 Å
α = 90.00°, β = 90.00°, γ = 90.00°
Space group F-43m (No. 216)
Unique sites:
V 0.000 0.000 0.000 (multiplicity 4)
Ga 0.000 0.000 0.500 (multiplicity 4)
Tc 0.250 0.250 0.250 (multiplicity 4)
Pd 0.250 0.250 0.750 (multiplicity 4)



Entry 5:
## ZrGaBi (PBE)

Data for crystalline ZrGaBi at its relaxed geometry.

Properties
**Energy of formation from the pure elements**: -0.297 eV/atom
**ΔE to the lowest computed polymorph**: 24.8 meV/atom
**N(E_F)**: 7.18 states/eV per cell

a = 9.673 Å, b = 5.915 Å, c = 6.570 Å
α = 90.00°, β = 132.79°, γ = 90.00°
Space group C2 (No. 5)
Unique sites:
Zr 0.000 0.000 0.000 (multiplicity 2)
Zr 0.000 0.189 0.500 (multiplicity 2)
Ga 0.250 0.345 0.432 (multiplicity 4)
Bi 0.137 0.596 0.886 (multiplicity 4)



Entry 6:
## ThZr2ReC4 (PBE)

Data for crystalline ThZr2ReC4 at its relaxed geometry.

Properties
**Energy of formation from the pure elements**: -0.360 eV/atom
**N(E_F)**: 10.14 states/eV per cell

a = 3.392 Å, b = 11.876 Å, c = 11.576 Å
α = 90.00°, β = 90.00°, γ = 90.00°
Space group Cmcm (No. 63)
Unique sites:
Th 0.000 0.098 0.250 (multiplicity 4)
Zr 0.000 0.371 0.039 (multiplicity 8)
Re 0.000 0.163 0.750 (multiplicity 4)
C 0.000 0.000 0.000 (multiplicity 4)
C 0.000 0.264 0.619 (multiplicity 8)
C 0.000 0.433 0.250 (multiplicity 4)



Entry 7:
## La2InPtO6 (PBE)

Data for crystalline La2InPtO6 at its relaxed geometry.

Properties
**VASP energy**: -6.99 eV per atom
**N(E_F)**: 0.43 states/eV per cell

a = 5.684 Å, b = 6.242 Å, c = 9.739 Å
α = 90.00°, β = 124.73°, γ = 90.00°
Space group P2_1/c (No. 14)
Unique sites:
La 0.229 0.077 0.252 (multiplicity 4)
In 0.500 0.000 0.000 (multiplicity 2)
Pt 0.000 0.000 0.500 (multiplicity 2)
O 0.134 0.175 0.938 (multiplicity 4)
O 0.251 0.683 0.947 (multiplicity 4)
O 0.362 0.046 0.740 (multiplicity 4)



Entry 8:
## TaFeSiSe2 (PBE)

Data for crystalline TaFeSiSe2 at its relaxed geometry.

Properties
**VASP energy**: -5.74 eV per atom
**N(E_F)**: 5.22 states/eV per cell

a = 4.702 Å, b = 4.702 Å, c = 4.203 Å
α = 90.00°, β = 90.00°, γ = 90.00°
Space group P4/mmm (No. 123)
Unique sites:
Ta 0.000 0.000 0.000 (multiplicity 1)
Fe 0.500 0.500 0.500 (multiplicity 1)
Si 0.500 0.500 0.000 (multiplicity 1)
Se 0.000 0.500 0.500 (multiplicity 2)



Entry 9:
## CaY2PdN (PBE)

Data for crystalline CaY2PdN at its relaxed geometry.

Properties
**VASP energy**: -6.52 eV per atom
**N(E_F)**: 4.42 states/eV per cell

a = 4.735 Å, b = 4.735 Å, c = 4.836 Å
α = 90.00°, β = 90.00°, γ = 90.00°
Space group P4/mmm (No. 123)
Unique sites:
Ca 0.000 0.000 0.000 (multiplicity 1)
Y 0.000 0.500 0.500 (multiplicity 2)
Pd 0.500 0.500 0.000 (multiplicity 1)
N 0.000 0.000 0.500 (multiplicity 1)



Entry 10:
## Zr2AlPb (PBE)

Data for crystalline Zr2AlPb at its relaxed geometry.

Properties
**Energy of formation from the pure elements**: -0.100 eV/atom
**N(E_F)**: 8.57 states/eV per cell

a = 3.2241 Å, b = 3.2241 Å, c = 29.9877 Å
α = 90.00°, β = 90.00°, γ = 120.00°
Space group R-3m (No. 166, hexagonal axes)
Unique sites:
Zr 0.0000 0.0000 0.2463 (multiplicity 6)
Al 0.0000 0.0000 0.5000 (multiplicity 3)
Pb 0.0000 0.0000 0.0000 (multiplicity 3)



Entry 11:
## LiNdHgPt (PBE)

Data for crystalline LiNdHgPt at its relaxed geometry.

Properties
**Energy of formation from the pure elements**: -0.576 eV/atom
**N(E_F)**: 9.28 states/eV per cell

a = 7.046 Å, b = 7.046 Å, c = 7.046 Å
α = 90.00°, β = 90.00°, γ = 90.00°
Space group F-43m (No. 216)
Unique sites:
Li 0.000 0.000 0.000 (multiplicity 4)
Nd 0.000 0.000 0.500 (multiplicity 4)
Hg 0.250 0.250 0.250 (multiplicity 4)
Pt 0.250 0.250 0.750 (multiplicity 4)



Entry 12:
## LaNi2Os (PBE)

Data for crystalline LaNi2Os at its relaxed geometry.

Properties
**Energy of formation from the pure elements**: 0.609 eV/atom
**ΔE to the lowest computed polymorph**: 743.8 meV/atom
**N(E_F)**: 16.45 states/eV per cell

a = 2.8504 Å, b = 2.8504 Å, c = 27.3169 Å
α = 90.00°, β = 90.00°, γ = 120.00°
Space group R3m (No. 160, hexagonal axes)
Unique sites:
La 0.0000 0.0000 0.0000 (multiplicity 3)
Ni 0.0000 0.0000 0.4940 (multiplicity 3)
Ni 0.0000 0.0000 0.7590 (multiplicity 3)
Os 0.0000 0.0000 0.2307 (multiplicity 3)



> Among the records above, which one has the highest N(E_F)?

Ba2TmCdO5